No. 1
Computed, not measured: crystalline PrPuAs2 at its relaxed geometry at the PBE level of DFT.

For the total energy, the calculation gives -33.42 eV per formula unit. The value obtained for the energy above the lowest structure with this stoichiometry is 0 meV/atom. The calculation puts the density of states at the Fermi level at 34.01 states/eV/cell.

The structure belongs to space group R-3m (No. 166, hexagonal axes); the cell edges are 4.2246, 4.2246 and 20.6058 Å and the angles 90.00°, 90.00° and 120.00°. The distinct sites, in fractional coordinates, are Pr at (0.0000, 0.0000, 0.0000), Pu at (0.0000, 0.0000, 0.5000) and As at (0.0000, 0.0000, 0.2450).

No. 2
Computed, not measured: crystalline MgCdAu2 at its relaxed geometry at the PBE level of DFT.

For the total energy, the calculation gives -10.24 eV per formula unit. The calculation puts the density of states at the Fermi level at 6.62 states/eV/cell.

The structure belongs to space group F-43m (No. 216); the cell edges are 6.696, 6.696 and 6.696 Å and the angles 90.00°, 90.00° and 90.00°. The distinct sites, in fractional coordinates, are Mg at (0.000, 0.000, 0.000), Cd at (0.250, 0.250, 0.250), Au at (0.000, 0.000, 0.500) and Au at (0.250, 0.250, 0.750).

No. 3
Computed, not measured: crystalline LiP2RhO at its relaxed geometry at the PBE level of DFT.

The energy relative to the elements, uncorrected is 439 meV per atom. For the total energy, the calculation gives -22.85 eV per formula unit. The value obtained for the energy above the lowest structure with this stoichiometry is 293 meV/atom. The calculation puts the density of states at the Fermi level at 5.00 states/eV/cell.

The structure belongs to space group P4/mmm (No. 123); the cell edges are 4.548, 4.548 and 3.144 Å and the angles 90.00°, 90.00° and 90.00°. The distinct sites, in fractional coordinates, are Li at (0.000, 0.000, 0.000), P at (0.000, 0.500, 0.000), Rh at (0.500, 0.500, 0.500) and O at (0.000, 0.000, 0.500).

No. 4
Computed, not measured: crystalline Be2GaN4 at its relaxed geometry at the PBE level of DFT.

The energy relative to the elements, uncorrected is 1155 meV per atom. For the total energy, the calculation gives -35.70 eV per formula unit. The calculation puts the density of states at the Fermi level at 8.32 states/eV/cell.

The structure belongs to space group I4/mmm (No. 139); the cell edges are 3.721, 3.721 and 9.791 Å and the angles 90.00°, 90.00° and 90.00°. The distinct sites, in fractional coordinates, are Be at (0.000, 0.000, 0.107), Ga at (0.000, 0.000, 0.500), N at (0.000, 0.000, 0.270) and N at (0.000, 0.500, 0.000).

- Which formula does entry 4 have?
  Be2GaN4